The following is a DFT calculation (GGA-PBE) of crystalline Nd2GaI at its relaxed geometry.

Cell lengths 7.598, 7.887, 9.835 Å; angles 105.87, 104.71, 109.27 degrees
Atoms (fractional coordinates):
Ga 0.680 0.930 0.860
Ga 0.320 0.070 0.140
Nd 0.042 0.269 0.126
Ga 0.945 0.195 0.389
Nd 0.179 0.950 0.377
Nd 0.303 0.574 0.623
I 0.430 0.680 0.359
Nd 0.697 0.426 0.377
I 0.194 0.444 0.888
Nd 0.415 0.142 0.874
I 0.570 0.320 0.641
Nd 0.958 0.731 0.874
Nd 0.821 0.050 0.623
Nd 0.585 0.858 0.126
Ga 0.055 0.805 0.611
I 0.806 0.556 0.112

Output
The formation energy (no corrections) is -0.77 eV/atom. As for the size of the total moment: 0.000 μB per atom. Its crystal system is monoclinic. The calculation puts the density of states at the Fermi level at 0.506 states/eV/atom. The value obtained for the offset from the most stable computed form is 0.001 eV/atom.

=====

The following is a DFT calculation (GGA-PBE) of crystalline Nd2GaI at its relaxed geometry.

Cell lengths 3.664, 3.664, 8.472 Å; angles 90.00, 90.00, 90.00 degrees
Atoms (fractional coordinates):
I 0.500 0.500 0.500
Nd 0.000 0.000 0.221
Nd 0.000 0.000 0.779
Ga 0.500 0.500 0.000

Output
The formation energy (no corrections) is -0.68 eV/atom. As for the size of the total moment: 0.001 μB per atom. Its crystal system is tetragonal. The calculation puts the density of states at the Fermi level at 0.817 states/eV/atom. The value obtained for the offset from the most stable computed form is 0.085 eV/atom.

=====

Question: Among the records above, which one has the lowest size of the total moment?
Answer: number 1